Entry from the Alexandria database: a relaxed ScCu2Os crystal (PBE).

a b c (Å): 3.886 3.886 7.688
angles (deg): 90.00 90.00 90.00
Space group I4/mmm (No. 139)
Unique sites:
Sc1 0.000 0.000 0.000
Cu1 0.000 0.500 0.250
Os1 0.000 0.000 0.500

Calculated values
- Fermi-level density of states: 4.52 states/eV/f.u.
- Final energy: -6.446 eV/atom
- Calculated formation energy: -7.4 meV/atom